The following is a DFT calculation (GGA-PBEsol) of an optimized crystal structure of GeP2SN.

a b c (Å): 4.1438 4.1438 4.0141
angles (deg): 90.00 90.00 90.00
Space group P4/mmm (No. 123)
Unique sites:
Ge: 0.0000 0.0000 0.0000 x1
P: 0.0000 0.5000 0.5000 x2
S: 0.5000 0.5000 0.0000 x1
N: 0.5000 0.5000 0.5000 x1

Properties
Formation energy (no corrections) ... 0.804 eV/atom
Magnetic moment ... 0.00 μB per formula unit